Entry 1:
# CsNdTe3As PBE relaxed
data_CsNdTe3As
_chemical_formula_sum 'Cs4 Nd4 Te12 As4'
_symmetry_space_group_name_H-M 'C m c m'
_symmetry_Int_Tables_number 63
_symmetry_space_group_name_Hall '-C 2c 2'
_cell_length_a 4.795
_cell_length_b 15.901
_cell_length_c 12.838
_cell_angle_alpha 90.00
_cell_angle_beta 90.00
_cell_angle_gamma 90.00
loop_
_atom_site_label
_atom_site_fract_x
_atom_site_fract_y
_atom_site_fract_z
Cs1 0.000 0.242 0.250
Nd1 0.000 0.500 0.000
Te1 0.000 0.130 0.537
Te2 0.000 0.478 0.750
As1 0.000 0.064 0.750
# Crystal system ... orthorhombic
# Calculated total energy ... -4.090 eV per atom
# ρ ... 4.99 g cm⁻³

Entry 2:
# Hf4Sc2Bi3C3 PBE relaxed
data_Hf4Sc2Bi3C3
_chemical_formula_sum 'Hf16 Sc8 Bi12 C12'
_symmetry_space_group_name_H-M 'C 1 2/c 1'
_symmetry_Int_Tables_number 15
_symmetry_space_group_name_Hall '-C 2yc'
_cell_length_a 10.292
_cell_length_b 5.941
_cell_length_c 14.930
_cell_angle_alpha 90.00
_cell_angle_beta 103.33
_cell_angle_gamma 90.00
loop_
_atom_site_label
_atom_site_fract_x
_atom_site_fract_y
_atom_site_fract_z
Hf1 0.110 0.089 0.080
Hf2 0.226 0.080 0.420
Sc1 0.053 0.419 0.917
Bi1 0.000 0.081 0.750
Bi2 0.167 0.418 0.251
C1 0.086 0.243 0.500
C2 0.250 0.250 0.000
# Crystal system ... monoclinic
# Calculated total energy ... -8.328 eV per atom
# ρ ... 10.97 g cm⁻³

Entry 3:
# ZnCuAgSn PBE relaxed
data_ZnCuAgSn
_chemical_formula_sum 'Zn4 Cu4 Ag4 Sn4'
_symmetry_space_group_name_H-M 'F -4 3 m'
_symmetry_Int_Tables_number 216
_symmetry_space_group_name_Hall 'F -4 2 3'
_cell_length_a 6.575
_cell_length_b 6.575
_cell_length_c 6.575
_cell_angle_alpha 90.00
_cell_angle_beta 90.00
_cell_angle_gamma 90.00
loop_
_atom_site_label
_atom_site_fract_x
_atom_site_fract_y
_atom_site_fract_z
Zn1 0.000 0.000 0.000
Cu1 0.250 0.250 0.750
Ag1 0.250 0.250 0.250
Sn1 0.000 0.000 0.500
# Energy above the most stable polymorph in this dataset ... 0.0 meV per atom
# Crystal system ... cubic
# Calculated total energy ... -2.817 eV per atom
# ρ ... 8.31 g cm⁻³

Entry 4:
# ScCuIrPb PBE relaxed
data_ScCuIrPb
_chemical_formula_sum 'Sc4 Cu4 Ir4 Pb4'
_symmetry_space_group_name_H-M 'F -4 3 m'
_symmetry_Int_Tables_number 216
_symmetry_space_group_name_Hall 'F -4 2 3'
_cell_length_a 6.593
_cell_length_b 6.593
_cell_length_c 6.593
_cell_angle_alpha 90.00
_cell_angle_beta 90.00
_cell_angle_gamma 90.00
loop_
_atom_site_label
_atom_site_fract_x
_atom_site_fract_y
_atom_site_fract_z
Sc1 0.000 0.000 0.000
Cu1 0.000 0.000 0.500
Ir1 0.250 0.250 0.750
Pb1 0.250 0.250 0.250
# Energy above the most stable polymorph in this dataset ... 159.7 meV per atom
# Crystal system ... cubic
# Calculated total energy ... -5.726 eV per atom
# ρ ... 11.77 g cm⁻³